1.
A plane-wave DFT calculation with PBE was carried out for crystalline CsAlNF2 at its relaxed geometry.

Calculated values
The total energy comes out at -24.799 eV/cell. As for the energy relative to the elements, uncorrected: -1627 meV per atom. Its crystal system is tetragonal. The calculation puts the energy above the most stable polymorph in this dataset at 0 meV/atom. Its space group is No. 123.

Cell: 4.274 4.274 3.926 Å, 90.00 90.00 90.00°
Fractional positions:
Cs: 0.000 0.000 0.000
Al: 0.500 0.500 0.500
N: 0.500 0.500 0.000
F: 0.000 0.500 0.500
F: 0.500 0.000 0.500

***

2.
A plane-wave DFT calculation with PBE was carried out for crystalline Hf3ZrSc6 at its relaxed geometry.

Calculated values
The total energy comes out at -152.059 eV/cell. Its crystal system is monoclinic. The calculation puts the energy above the most stable polymorph in this dataset at 0 meV/atom. Its space group is No. 11. For the calculated formation energy, the calculation gives 0.04 eV/atom.

Cell: 10.065 3.192 15.387 Å, 90.00 108.95 90.00°
Fractional positions:
Hf: 0.038 0.250 0.104
Hf: 0.147 0.250 0.800
Hf: 0.249 0.750 0.496
Hf: 0.751 0.250 0.504
Hf: 0.853 0.750 0.200
Hf: 0.962 0.750 0.896
Zr: 0.337 0.750 0.182
Zr: 0.663 0.250 0.818
Sc: 0.039 0.750 0.602
Sc: 0.151 0.750 0.297
Sc: 0.248 0.250 0.997
Sc: 0.344 0.250 0.683
Sc: 0.431 0.750 0.889
Sc: 0.437 0.250 0.400
Sc: 0.563 0.750 0.600
Sc: 0.569 0.250 0.111
Sc: 0.656 0.750 0.317
Sc: 0.752 0.750 0.003
Sc: 0.849 0.250 0.703
Sc: 0.961 0.250 0.398

***

3.
A plane-wave DFT calculation with PBE was carried out for crystalline BTeS3 at its relaxed geometry.

Calculated values
The total energy comes out at -14.920 eV/cell. As for the energy relative to the elements, uncorrected: 1456 meV per atom. Its crystal system is cubic. The calculation puts the energy above the most stable polymorph in this dataset at 1575 meV/atom. Its space group is No. 221.

Cell: 5.065 5.065 5.065 Å, 90.00 90.00 90.00°
Fractional positions:
B: 0.000 0.000 0.000
Te: 0.500 0.500 0.500
S: 0.000 0.500 0.500
S: 0.500 0.000 0.500
S: 0.500 0.500 0.000